Entry P
Entry from Alexandria via LeMat-Bulk: crystalline HfMnPb3 at its relaxed geometry (GGA-PBE).

Crystal system: cubic
V in Å³/atom: 26.49

Cell lengths 5.097, 5.097, 5.097 Å; angles 90.00, 90.00, 90.00 degrees
Sites, in units of the cell vectors:
Pb (0.000, 0.500, 0.000)
Pb (0.000, 0.000, 0.500)
Pb (0.500, 0.000, 0.000)
Mn (0.000, 0.000, 0.000)
Hf (0.500, 0.500, 0.500)


Entry Q
Entry from Alexandria via LeMat-Bulk: crystalline HfMnPb3 at its relaxed geometry (GGA-PBE).

Crystal system: cubic
V in Å³/atom: 35.43

Cell lengths 5.616, 5.616, 5.616 Å; angles 90.00, 90.00, 90.00 degrees
Last column: magnetic moment on the atom in μB.
Sites, in units of the cell vectors:
Pb (0.000, 0.500, 0.000)  0.00
Pb (0.000, 0.000, 0.500)  -0.01
Pb (0.500, 0.000, 0.000)  0.01
Mn (0.500, 0.500, 0.500)  4.52
Hf (0.000, 0.000, 0.000)  0.10


The computed energies, referenced to the most stable structure and given in meV per atom, are entry P 54; entry Q 0.


Entry P
Entry from Alexandria via LeMat-Bulk: crystalline Hf3MnPb at its relaxed geometry (GGA-PBE).

Crystal system: cubic
V in Å³/atom: 22.54

Cell lengths 4.830, 4.830, 4.830 Å; angles 90.00, 90.00, 90.00 degrees
Last column: magnetic moment on the atom in μB.
Sites, in units of the cell vectors:
Pb (0.500, 0.500, 0.500)  0.00
Mn (0.000, 0.000, 0.000)  0.25
Hf (0.000, 0.500, 0.000)  0.05
Hf (0.000, 0.000, 0.500)  0.03
Hf (0.500, 0.000, 0.000)  0.10


Entry Q
Entry from Alexandria via LeMat-Bulk: crystalline Hf3MnPb at its relaxed geometry (GGA-PBE).

Crystal system: cubic
V in Å³/atom: 29.06

Cell lengths 5.257, 5.257, 5.257 Å; angles 90.00, 90.00, 90.00 degrees
Last column: magnetic moment on the atom in μB.
Sites, in units of the cell vectors:
Pb (0.000, 0.000, 0.000)  0.00
Mn (0.500, 0.500, 0.500)  0.03
Hf (0.000, 0.500, 0.000)  -0.05
Hf (0.000, 0.000, 0.500)  -0.14
Hf (0.500, 0.000, 0.000)  -0.01


The computed energies, referenced to the most stable structure and given in meV per atom, are entry P 0; entry Q 1770.


Entry P
Entry from Alexandria via LeMat-Bulk: crystalline HfMn3Pd at its relaxed geometry (GGA-PBE).

Crystal system: cubic
V in Å³/atom: 20.89

Cell lengths 4.709, 4.709, 4.709 Å; angles 90.00, 90.00, 90.00 degrees
Last column: magnetic moment on the atom in μB.
Sites, in units of the cell vectors:
Mn (0.000, 0.500, 0.000)  3.90
Mn (0.000, 0.000, 0.500)  3.86
Mn (0.500, 0.000, 0.000)  3.70
Hf (0.500, 0.500, 0.500)  -0.79
Pd (0.000, 0.000, 0.000)  0.42


Entry Q
Entry from Alexandria via LeMat-Bulk: crystalline HfMn3Pd at its relaxed geometry (GGA-PBE).

Crystal system: cubic
V in Å³/atom: 17.29

Cell lengths 4.422, 4.422, 4.422 Å; angles 90.00, 90.00, 90.00 degrees
Sites, in units of the cell vectors:
Mn (0.000, 0.500, 0.000)
Mn (0.000, 0.000, 0.500)
Mn (0.500, 0.000, 0.000)
Hf (0.000, 0.000, 0.000)
Pd (0.500, 0.500, 0.500)


The computed energies, referenced to the most stable structure and given in meV per atom, are entry P 0; entry Q 977.


Entry P
Entry from Alexandria via LeMat-Bulk: crystalline Hf4MnPd at its relaxed geometry (GGA-PBE).

Crystal system: monoclinic
V in Å³/atom: 21.15

Cell lengths 4.454, 4.454, 6.395 Å; angles 89.94, 89.97, 90.00 degrees
Sites, in units of the cell vectors:
Hf (0.501, 0.997, 0.265)
Hf (0.501, 0.998, 0.731)
Hf (0.001, 0.498, 0.731)
Hf (0.001, 0.497, 0.265)
Mn (0.001, 0.997, 0.498)
Pd (0.501, 0.497, 0.998)


Entry Q
Entry from Alexandria via LeMat-Bulk: crystalline Hf4MnPd at its relaxed geometry (GGA-PBE).

Crystal system: tetragonal
V in Å³/atom: 18.64

Cell lengths 3.243, 3.243, 10.632 Å; angles 90.00, 90.00, 90.00 degrees
Last column: magnetic moment on the atom in μB.
Sites, in units of the cell vectors:
Hf (0.500, 0.500, 0.855)  -0.03
Hf (0.500, 0.500, 0.145)  -0.03
Hf (0.000, 0.000, 0.664)  0.06
Hf (0.000, 0.000, 0.336)  0.06
Mn (0.000, 0.000, 0.000)  0.60
Pd (0.500, 0.500, 0.500)  0.01


The computed energies, referenced to the most stable structure and given in meV per atom, are entry P 230; entry Q 0.